1.
A plane-wave DFT calculation with PBE was carried out for Sc4GaCu after structural relaxation.

Energy relative to the elements   -0.28 eV per atom
DOS at the Fermi energy   8.18 states/eV per cell
Relative energy among the computed polymorphs   0 meV/atom
Total energy   -34.109 eV per cell
Total moment   0.00 μB per cell

Cell lengths 3.3638, 5.8141, 6.9648 Å; angles 103.56, 76.05, 106.81 degrees
Last column: nearest neighbours and their distance in Å.
Atoms (fractional coordinates):
Ga 0.6225 0.9163 0.4217  1 Cu 2.63, 7 Sc 2.81-2.93
Sc 0.5883 0.2413 0.8140  2 Cu 2.73, 1 Ga 2.93, 1 Sc 3.03
Sc 0.8977 0.7441 0.6992  2 Ga 2.81, 1 Cu 2.94, 1 Sc 3.03
Sc 0.3505 0.3340 0.3830  2 Cu 2.80, 2 Ga 2.92
Sc 0.1640 0.6763 0.0984  2 Cu 2.86, 2 Ga 2.89
Cu 0.8769 0.0879 0.0836  1 Ga 2.63, 7 Sc 2.73-2.94

***

2.
A plane-wave DFT calculation with PBE was carried out for LiPuMg4 after structural relaxation.

Energy relative to the elements   0.16 eV per atom
DOS at the Fermi energy   15.13 states/eV per cell
Total energy   -21.655 eV per cell
Total moment   6.56 μB per cell

Cell lengths 5.9969, 5.9969, 5.9969 Å; angles 60.00, 60.00, 60.00 degrees
Last column: nearest neighbours and their distance in Å.
Atoms (fractional coordinates):
Mg 0.1243 0.6252 0.6252  6 Mg 2.99-3.00
Pu 0.2500 0.2500 0.2500  12 Mg 3.52, 4 Li 3.67
Mg 0.6252 0.1243 0.6252  6 Mg 2.99-3.00
Mg 0.6252 0.6252 0.6252  6 Mg 2.99-3.00
Mg 0.6252 0.6252 0.1243  6 Mg 2.99-3.00
Li 0.0000 0.0000 0.0000  12 Mg 3.52, 4 Pu 3.67